Compound: BaReB2N
Source: Alexandria
Functional: PBE-GGA
Structure: relaxed

Results
Symmetry: P4/mmm (123)
E_form (uncorrected) (eV per atom): 1.38

a b c (Å): 4.0674 6.3116 4.0674
angles (deg): 90.00 90.00 90.00
Closest atoms and distances in Å follow each position.
Fractional positions:
Re 0.0000 0.0000 0.0000  4 B 2.03
B 0.0000 0.0000 0.5000  2 Re 2.03
B 0.5000 0.0000 0.0000  2 Re 2.03
Ba 0.0000 0.5000 0.0000  4 N 2.88, 2 Re 3.16
N 0.5000 0.5000 0.5000  4 Ba 2.88

Compound: BaBSN2
Source: Alexandria
Functional: PBE-GGA
Structure: relaxed

Results
Symmetry: P4/mmm (123)
E_form (uncorrected) (eV per atom): 2.43

a b c (Å): 5.2538 5.2538 6.1675
angles (deg): 90.00 90.00 90.00
Closest atoms and distances in Å follow each position.
Fractional positions:
S 0.0000 0.0000 0.5000  2 Ba 3.08
B 0.5000 0.5000 0.5000  4 S 3.71, 8 N 4.05
Ba 0.0000 0.0000 0.0000  4 N 2.63
N 0.0000 0.5000 0.0000  2 Ba 2.63
N 0.5000 0.0000 0.0000  2 Ba 2.63

Compound: BaBSN2
Source: Alexandria
Functional: PBE-GGA
Structure: relaxed

Results
Symmetry: P4/mmm (123)
E_form (uncorrected) (eV per atom): 0.93

a b c (Å): 4.1455 4.1455 4.2258
angles (deg): 90.00 90.00 90.00
Closest atoms and distances in Å follow each position.
Fractional positions:
S 0.0000 0.0000 0.5000  2 B 2.11
B 0.0000 0.0000 0.0000  4 N 2.07, 2 S 2.11
Ba 0.5000 0.5000 0.5000  4 S 2.93, 8 N 2.96
N 0.0000 0.5000 0.0000  2 B 2.07
N 0.5000 0.0000 0.0000  2 B 2.07

Compound: BaBSe2N
Source: Alexandria
Functional: PBE-GGA
Structure: relaxed

Results
Symmetry: P4/mmm (123)
E_form (uncorrected) (eV per atom): -0.28

a b c (Å): 6.1002 6.1002 2.8106
angles (deg): 90.00 90.00 90.00
Closest atoms and distances in Å follow each position.
Fractional positions:
B 0.0000 0.0000 0.0000  2 N 1.41
Ba 0.5000 0.5000 0.5000  2 Ba 2.81
Se 0.0000 0.5000 0.0000  2 Se 2.81, 2 B 3.05
Se 0.5000 0.0000 0.0000  2 Se 2.81, 2 B 3.05
N 0.0000 0.0000 0.5000  2 B 1.41

Compound: BaBSe2N
Source: Alexandria
Functional: PBE-GGA
Structure: relaxed

Results
Symmetry: P4/mmm (123)
E_form (uncorrected) (eV per atom): 1.76

a b c (Å): 6.2404 6.2404 5.2652
angles (deg): 90.00 90.00 90.00
Closest atoms and distances in Å follow each position.
Fractional positions:
B 0.5000 0.5000 0.5000  8 Se 4.08, 4 N 4.41
Ba 0.0000 0.0000 0.0000  2 N 2.63
Se 0.0000 0.5000 0.0000  2 Ba 3.12
Se 0.5000 0.0000 0.0000  2 Ba 3.12
N 0.0000 0.0000 0.5000  2 Ba 2.63

Compound: Ba8SrB6N12
Source: Alexandria
Functional: PBE-GGA
Structure: relaxed

Results
Symmetry: Pm-3m (221)
E_form (uncorrected) (eV per atom): -1.03

a b c (Å): 8.0461 8.0461 8.0461
angles (deg): 90.00 90.00 90.00
Closest atoms and distances in Å follow each position.
Fractional positions:
Ba 0.7380 0.7380 0.2620  6 N 2.81-3.03
Ba 0.2620 0.2620 0.7380  6 N 2.81-3.03
Ba 0.7380 0.2620 0.7380  6 N 2.81-3.03
Ba 0.2620 0.7380 0.2620  6 N 2.81-3.03
Ba 0.2620 0.7380 0.7380  6 N 2.81-3.03
Ba 0.7380 0.2620 0.2620  6 N 2.81-3.03
Ba 0.7380 0.7380 0.7380  6 N 2.81-3.03
Ba 0.2620 0.2620 0.2620  6 N 2.81-3.03
Sr 0.0000 0.0000 0.0000  6 N 2.66
B 0.5000 0.0000 0.0000  2 N 1.36
B 0.0000 0.5000 0.5000  2 N 1.35
B 0.0000 0.0000 0.5000  2 N 1.36
B 0.5000 0.5000 0.0000  2 N 1.35
B 0.0000 0.5000 0.0000  2 N 1.36
B 0.5000 0.0000 0.5000  2 N 1.35
N 0.5000 0.5000 0.1676  1 B 1.35
N 0.0000 0.0000 0.6690  1 B 1.36
N 0.0000 0.3310 0.0000  1 B 1.36
N 0.5000 0.8324 0.5000  1 B 1.35
N 0.3310 0.0000 0.0000  1 B 1.36
N 0.8324 0.5000 0.5000  1 B 1.35
N 0.0000 0.0000 0.3310  1 B 1.36
N 0.5000 0.5000 0.8324  1 B 1.35
N 0.0000 0.6690 0.0000  1 B 1.36
N 0.5000 0.1676 0.5000  1 B 1.35
N 0.6690 0.0000 0.0000  1 B 1.36
N 0.1676 0.5000 0.5000  1 B 1.35

Compound: Ba2TaBN
Source: Alexandria
Functional: PBE-GGA
Structure: relaxed

Results
Symmetry: P4/mmm (123)
E_form (uncorrected) (eV per atom): 1.00

a b c (Å): 6.2283 3.9732 6.2283
angles (deg): 90.00 90.00 90.00
Closest atoms and distances in Å follow each position.
Fractional positions:
B 0.5000 0.5000 0.5000  8 Ba 3.69, 2 B 3.97
N 0.0000 0.5000 0.0000  2 Ta 1.99
Ba 0.0000 0.0000 0.5000  2 Ta 3.11
Ba 0.5000 0.0000 0.0000  2 Ta 3.11
Ta 0.0000 0.0000 0.0000  2 N 1.99

Compound: BaTcBN2
Source: Alexandria
Functional: PBE-GGA
Structure: relaxed

Results
Symmetry: P4/mmm (123)
E_form (uncorrected) (eV per atom): 3.25

a b c (Å): 4.4416 6.5490 4.4416
angles (deg): 90.00 90.00 90.00
Closest atoms and distances in Å follow each position.
Fractional positions:
B 0.5000 0.5000 0.5000  4 Tc 3.14
N 0.0000 0.0000 0.5000  2 Ba 2.22
N 0.5000 0.0000 0.0000  2 Ba 2.22
Ba 0.0000 0.0000 0.0000  4 N 2.22
Tc 0.0000 0.5000 0.0000  4 B 3.14, 2 Ba 3.27

Compound: BaBTe2N
Source: Alexandria
Functional: PBE-GGA
Structure: relaxed

Results
Symmetry: P4/mmm (123)
E_form (uncorrected) (eV per atom): -0.19

a b c (Å): 6.6377 6.6377 2.8520
angles (deg): 90.00 90.00 90.00
Closest atoms and distances in Å follow each position.
Fractional positions:
B 0.0000 0.0000 0.0000  2 N 1.43
Te 0.0000 0.5000 0.0000  2 Te 2.85
Te 0.5000 0.0000 0.0000  2 Te 2.85
Ba 0.5000 0.5000 0.5000  2 Ba 2.85
N 0.0000 0.0000 0.5000  2 B 1.43

Compound: BaBTeN2
Source: Alexandria
Functional: PBE-GGA
Structure: relaxed

Results
Symmetry: P4/mmm (123)
E_form (uncorrected) (eV per atom): 2.37

a b c (Å): 4.5861 4.5861 7.3215
angles (deg): 90.00 90.00 90.00
Closest atoms and distances in Å follow each position.
Fractional positions:
B 0.5000 0.5000 0.5000  4 Te 3.24
Te 0.0000 0.0000 0.5000  4 B 3.24
Ba 0.0000 0.0000 0.0000  4 N 2.29
N 0.0000 0.5000 0.0000  2 Ba 2.29
N 0.5000 0.0000 0.0000  2 Ba 2.29

Compound: BaBTeN2
Source: Alexandria
Functional: PBE-GGA
Structure: relaxed

Results
Symmetry: P4/mmm (123)
E_form (uncorrected) (eV per atom): 1.37

a b c (Å): 4.4731 4.4731 4.5913
angles (deg): 90.00 90.00 90.00
Closest atoms and distances in Å follow each position.
Fractional positions:
B 0.0000 0.0000 0.0000  4 N 2.24, 2 Te 2.30
Te 0.0000 0.0000 0.5000  2 B 2.30
Ba 0.5000 0.5000 0.5000  4 Te 3.16, 8 N 3.21
N 0.0000 0.5000 0.0000  2 B 2.24
N 0.5000 0.0000 0.0000  2 B 2.24

Compound: BaBTe2N
Source: Alexandria
Functional: PBE-GGA
Structure: relaxed

Results
Symmetry: P4/mmm (123)
E_form (uncorrected) (eV per atom): 1.87

a b c (Å): 6.7061 6.7061 4.3424
angles (deg): 90.00 90.00 90.00
Closest atoms and distances in Å follow each position.
Fractional positions:
B 0.5000 0.5000 0.5000  8 Te 3.99, 2 B 4.34
Te 0.0000 0.5000 0.0000  2 Ba 3.35
Te 0.5000 0.0000 0.0000  2 Ba 3.35
Ba 0.0000 0.0000 0.0000  2 N 2.17
N 0.0000 0.0000 0.5000  2 Ba 2.17